DFT (PBE) results for crystalline AgSnN2O at its relaxed geometry.

Cell lengths 4.2534, 4.2534, 4.0775 Å; angles 90.00, 90.00, 90.00 degrees
Closest atoms and distances in Å follow each position.
Space group P4/mmm (No. 123)
Inequivalent atoms, fractional coordinates:
Ag: 0.0000 0.0000 0.0000 x1  8 N 2.95, 4 O 3.01
Sn: 0.5000 0.5000 0.5000 x1  2 O 2.04, 4 N 2.13
N: 0.0000 0.5000 0.5000 x2  2 Sn 2.13
O: 0.5000 0.5000 0.0000 x1  2 Sn 2.04

Results
The calculation puts the total energy at -4.73 eV per atom. For the density of states at the Fermi level, the calculation gives 0.28 states/eV per atom. The formation energy from raw total energies is 0.96 eV/atom.